Record 1
! Ni2Sn2Bi, relaxed, DFT PBE; values from VASP
&SYSTEM
  ibrav = 0, nat = 5, ntyp = 3
/
ATOMIC_SPECIES
Ni 58.69 Ni.upf
Bi 208.98 Bi.upf
Sn 118.71 Sn.upf
CELL_PARAMETERS angstrom
4.192 0.000 0.000
0.000 4.192 0.000
2.096 2.096 5.790
ATOMIC_POSITIONS crystal
Ni 0.391 0.391 0.217
Ni 0.609 0.609 0.783
Bi 0.000 0.000 0.000
Sn 0.750 0.250 0.500
Sn 0.250 0.750 0.500
! **E above lowest polymorph**: 0.35 eV per formula unit
! **Formation energy**: 126 meV/atom
! **SG**: I4/mmm, No. 139


Record 2
! AcCuBPd6, relaxed, DFT PBE; values from VASP
&SYSTEM
  ibrav = 0, nat = 18, ntyp = 4
/
ATOMIC_SPECIES
Ac 227.00 Ac.upf
Cu 63.55 Cu.upf
B 10.81 B.upf
Pd 106.42 Pd.upf
CELL_PARAMETERS angstrom
-4.804 -2.441 2.668
0.472 -7.165 -5.706
5.603 2.082 5.219
ATOMIC_POSITIONS crystal
Ac 0.830 0.580 0.660
Ac 0.170 0.420 0.340
Cu 0.500 0.000 0.500
Cu 0.000 0.000 0.500
B 0.500 0.500 0.000
B 0.500 0.000 0.000
Pd 0.463 0.713 0.925
Pd 0.927 0.177 0.855
Pd 0.866 0.110 0.251
Pd 0.386 0.642 0.251
Pd 0.386 0.110 0.251
Pd 0.866 0.642 0.251
Pd 0.537 0.287 0.075
Pd 0.073 0.823 0.145
Pd 0.134 0.890 0.749
Pd 0.614 0.358 0.749
Pd 0.614 0.890 0.749
Pd 0.134 0.358 0.749
! **Formation energy**: -224 meV/atom
! **SG**: Imma, No. 74


Record 3
! Sm2ErTc, relaxed, DFT PBE; values from VASP
&SYSTEM
  ibrav = 0, nat = 8, ntyp = 3
/
ATOMIC_SPECIES
Sm 150.36 Sm.upf
Er 167.26 Er.upf
Tc 98.00 Tc.upf
CELL_PARAMETERS angstrom
9.311 0.000 0.000
0.000 3.912 0.592
0.000 1.061 6.209
ATOMIC_POSITIONS crystal
Sm 0.067 0.642 0.717
Sm 0.933 0.358 0.283
Sm 0.567 0.358 0.283
Sm 0.433 0.642 0.717
Er 0.250 0.924 0.152
Er 0.750 0.076 0.848
Tc 0.250 0.262 0.477
Tc 0.750 0.738 0.523
! **E above lowest polymorph**: 0.00 eV per formula unit
! **Formation energy**: -47 meV/atom
! **SG**: Cmcm, No. 63


Record 4
! HfBeAsSe2, relaxed, DFT PBE; values from VASP
&SYSTEM
  ibrav = 0, nat = 5, ntyp = 4
/
ATOMIC_SPECIES
Be 9.01 Be.upf
As 74.92 As.upf
Hf 178.49 Hf.upf
Se 78.96 Se.upf
CELL_PARAMETERS angstrom
-3.888 -2.224 -1.110
2.220 -4.034 0.308
-1.069 -0.262 4.269
ATOMIC_POSITIONS crystal
Be 0.000 0.000 0.000
As 0.000 0.000 0.500
Hf 0.500 0.500 0.500
Se 0.000 0.500 0.000
Se 0.500 0.000 0.000
! **E above lowest polymorph**: 0.00 eV per formula unit
! **SG**: P4/mmm, No. 123


Record 5
! PrDyTlPt, relaxed, DFT PBE; values from VASP
&SYSTEM
  ibrav = 0, nat = 4, ntyp = 4
/
ATOMIC_SPECIES
Pr 140.91 Pr.upf
Tl 204.38 Tl.upf
Pt 195.08 Pt.upf
Dy 162.50 Dy.upf
CELL_PARAMETERS angstrom
-4.317 0.385 2.976
-4.722 -1.027 -2.072
-2.608 -4.338 1.423
ATOMIC_POSITIONS crystal
Pr 0.500 0.500 0.500
Tl 0.250 0.250 0.250
Pt 0.750 0.750 0.750
Dy 0.000 0.000 0.000
! **Formation energy**: -623 meV/atom
! **SG**: F-43m, No. 216


Record 6
! Fe3Ni5Ir, relaxed, DFT PBE; values from VASP
&SYSTEM
  ibrav = 0, nat = 18, ntyp = 3
/
ATOMIC_SPECIES
Fe 55.84 Fe.upf
Ni 58.69 Ni.upf
Ir 192.22 Ir.upf
CELL_PARAMETERS angstrom
6.155 0.000 0.000
0.000 6.155 0.000
-3.077 -3.077 6.033
ATOMIC_POSITIONS crystal
Fe 0.621 0.121 0.000
Fe 0.379 0.879 0.000
Fe 0.879 0.621 0.000
Fe 0.121 0.379 0.000
Fe 0.250 0.250 0.500
Fe 0.750 0.750 0.500
Ni 0.082 0.582 0.709
Ni 0.627 0.127 0.709
Ni 0.127 0.082 0.709
Ni 0.582 0.627 0.709
Ni 0.918 0.418 0.291
Ni 0.373 0.873 0.291
Ni 0.873 0.918 0.291
Ni 0.418 0.373 0.291
Ni 0.500 0.500 0.000
Ni 0.000 0.000 0.000
Ir 0.750 0.250 0.500
Ir 0.250 0.750 0.500
! **Formation energy**: 416 meV/atom
! **SG**: I4/mcm, No. 140


Record 7
! VHgAu2, relaxed, DFT PBE; values from VASP
&SYSTEM
  ibrav = 0, nat = 4, ntyp = 3
/
ATOMIC_SPECIES
Au 196.97 Au.upf
Hg 200.59 Hg.upf
V 50.94 V.upf
CELL_PARAMETERS angstrom
2.960 0.000 0.000
0.000 2.960 0.000
0.000 0.000 8.200
ATOMIC_POSITIONS crystal
Au 0.000 0.000 0.780
Au 0.000 0.000 0.220
Hg 0.500 0.500 0.500
V 0.500 0.500 0.000
! **Formation energy**: 73 meV/atom
! **SG**: P4/mmm, No. 123


Record 8
! TlPb, relaxed, DFT PBE; values from VASP
&SYSTEM
  ibrav = 0, nat = 12, ntyp = 2
/
ATOMIC_SPECIES
Tl 204.38 Tl.upf
Pb 207.20 Pb.upf
CELL_PARAMETERS angstrom
-2.857 -5.974 -6.434
7.630 -1.775 4.885
-3.033 -2.624 3.783
ATOMIC_POSITIONS crystal
Tl 0.750 0.937 0.250
Tl 0.812 0.750 0.750
Tl 0.063 0.812 0.250
Tl 0.250 0.063 0.750
Tl 0.188 0.250 0.250
Tl 0.937 0.188 0.750
Pb 0.898 0.396 0.250
Pb 0.501 0.898 0.750
Pb 0.604 0.501 0.250
Pb 0.102 0.604 0.750
Pb 0.499 0.102 0.250
Pb 0.396 0.499 0.750
! **Formation energy**: 66 meV/atom
! **SG**: P6_3/m, No. 176


no.,density of states at the Fermi level (states/eV/f.u.),magnetization (μB/cell)
1,4.03,0.00
2,3.11,0.00
3,3.22,0.00
4,2.64,0.00
5,4.02,0.00
6,10.28,23.01
7,3.33,0.69
8,1.03,0.00